{"formula": "ScTe2As", "functional": "PBE", "state": "optimized geometry", "cell": [[6.284, 0.000, 0.000], [0.000, 8.577, 0.000], [0.000, 0.000, 4.086]], "species": ["Sc", "Sc", "Te", "Te", "Te", "Te", "As", "As"], "fractional_positions": [[0.000, 0.000, 0.000], [0.500, 0.500, 0.000], [0.000, 0.246, 0.500], [0.000, 0.754, 0.500], [0.500, 0.254, 0.500], [0.500, 0.746, 0.500], [0.000, 0.500, 0.000], [0.500, 0.000, 0.000]], "spacegroup": "Cmmm", "raw_formation_energy_ev_per_atom": -0.25, "dft_energy_ev_per_atom": -4.567}